Entry from Alexandria via LeMat-Bulk: a relaxed structure of Y2PbS2 (PBE-GGA).

Unit cell a=8.030 b=8.030 c=3.524 alpha=90.00 beta=90.00 gamma=90.00
Positions (direct):
1 Pb 0.000 0.000 0.000
2 Pb 0.500 0.500 0.000
3 Y 0.161 0.661 0.500
4 Y 0.661 0.839 0.500
5 Y 0.839 0.339 0.500
6 Y 0.339 0.161 0.500
7 S 0.366 0.866 0.000
8 S 0.866 0.634 0.000
9 S 0.634 0.134 0.000
10 S 0.134 0.366 0.000

Values from the calculation:
* volume: 22.72 A^3/atom
* DOS at the Fermi energy: 7.05 states/eV/cell
* space group: P4/mbm (127)
* energy relative to the elements, uncorrected: -5.92 eV/f.u.